No. 1
# Cs2TlCd16

A geometry-optimized Cs2TlCd16 structure (PBE, the Alexandria database).

POSCAR file:
```
Cs2TlCd16
1.0
-2.2679 2.6545 -7.2693
2.6297 -6.4048 -4.1348
-7.0643 -3.8849 -0.1903
Cs Tl Cd
2 1 16
Cartesian
-4.3982 -5.0102 -7.6082
-2.3145 -2.6366 -4.0038
-6.0280 -6.8668 -10.4277
-1.0537 -5.6746 -9.3172
-6.4752 -1.9752 -8.6193
-5.8747 -7.6189 -5.2499
-2.4942 -3.0100 -10.2391
-7.8859 -3.8986 -6.5372
-3.0234 -8.3601 -6.4101
-1.0134 -5.8667 -6.1061
-3.4685 -1.3253 -7.6774
-5.8728 -4.6035 -4.1287
-5.6613 -1.7832 -5.4831
-3.2304 -6.2798 -3.9272
-0.8497 -3.0339 -7.4409
1.2512 -3.1548 -2.0665
-1.1350 1.2591 -3.5937
-3.4719 -1.9270 -0.1447
-0.6746 -0.7685 -1.1670
```

## Properties
DOS(E_F) (states/eV/cell): 6.8
Total magnetization (μB/f.u.): 0.00
Total DFT energy (no corrections) (eV per atom): -1.018

---

No. 2
# CsTl12Cd6

A geometry-optimized CsTl12Cd6 structure (PBE, the Alexandria database).

POSCAR file:
```
CsTl12Cd6
1.0
-5.1692 -7.1416 1.3610
8.1315 -3.2313 -1.7354
0.6677 4.0146 7.9381
Cs Tl Cd
1 12 6
Cartesian
0.0000 0.0000 0.0000
-3.2867 -4.6790 4.9695
0.8110 -5.5559 4.7874
2.3014 -2.7074 6.4667
-0.5771 -1.8009 3.5668
1.3287 -3.6510 1.0969
2.8190 -0.8025 2.7762
4.0538 1.0999 6.3045
4.6779 -5.9585 0.0714
6.9167 -1.6794 2.5942
-0.4238 -7.4583 1.2591
-1.0478 -0.3999 7.4922
4.2071 -4.5575 3.9968
-1.3242 -4.9017 2.6499
1.2782 0.0724 5.5823
4.6061 -3.1582 1.2693
2.3518 -6.4308 1.9813
4.9543 -1.4567 4.9138
-0.9761 -3.2001 6.2943
```

## Properties
DOS(E_F) (states/eV/cell): 10.0
Total magnetization (μB/f.u.): 0.00
Total DFT energy (no corrections) (eV per atom): -1.795

---

No. 3
# Cs2TlCd2

A geometry-optimized Cs2TlCd2 structure (PBE, the Alexandria database).

POSCAR file:
```
Cs2TlCd2
1.0
-3.9767 -3.7483 -0.0533
3.3994 -3.5460 -4.2632
3.0922 0.6050 6.9241
Cs Tl Cd
2 1 2
Cartesian
-0.2458 -3.7650 2.9356
2.7607 -2.9243 -0.3280
0.0000 0.0000 0.0000
0.5861 -4.5596 -3.2553
-1.1634 -2.7347 -1.0612
```

## Properties
DOS(E_F) (states/eV/cell): 3.1
Total magnetization (μB/f.u.): 0.00
Energy relative to the lowest polymorph listed for this composition (eV/f.u.): 0.00
Total DFT energy (no corrections) (eV per atom): -1.248

---

No. 4
# Cs3Tl9Cd2

A geometry-optimized Cs3Tl9Cd2 structure (PBE, the Alexandria database).

POSCAR file:
```
Cs3Tl9Cd2
1.0
5.1113 0.0000 1.2957
2.2480 9.9360 1.8614
0.0969 0.4136 10.3471
Cs Tl Cd
3 9 2
Cartesian
0.0000 0.0000 0.0000
4.2866 3.0856 4.5492
3.1697 7.2640 8.9550
1.1725 5.1748 6.1042
5.7259 10.0588 9.6007
1.7303 0.2908 3.9035
5.0411 7.0272 12.3022
2.4152 3.3224 1.2020
6.4158 8.4675 6.8790
1.0404 1.8821 6.6252
5.4886 4.3629 10.5367
1.9676 5.9867 2.9675
3.3250 3.3904 8.3423
4.1312 6.9592 5.1619
```

## Properties
DOS(E_F) (states/eV/cell): 8.4
Total magnetization (μB/f.u.): 0.00
Total DFT energy (no corrections) (eV per atom): -1.873

---

No. 5
# CsTl9Cd2

A geometry-optimized CsTl9Cd2 structure (PBE, the Alexandria database).

POSCAR file:
```
CsTl9Cd2
1.0
-0.4546 -3.1275 2.3069
9.0072 -4.3395 -4.1083
0.5559 6.3554 8.7258
Cs Tl Cd
1 9 2
Cartesian
0.0000 0.0000 0.0000
7.1314 -3.8170 -0.4513
0.2780 3.1777 4.3629
4.7816 1.0080 2.3088
7.3620 -1.1808 3.1681
1.9772 2.7054 7.3757
5.7134 0.9054 5.6716
1.7466 0.0692 3.7563
4.5036 -2.1697 -2.0541
3.3952 -2.0170 1.2528
6.1901 -0.7745 0.1697
3.3730 2.7904 4.4478
```

## Properties
DOS(E_F) (states/eV/cell): 6.3
Total magnetization (μB/f.u.): 0.00
Energy relative to the lowest polymorph listed for this composition (eV/f.u.): 0.35
Total DFT energy (no corrections) (eV per atom): -2.003

---

No. 6
# CsTlCd2

A geometry-optimized CsTlCd2 structure (PBE, the Alexandria database).

POSCAR file:
```
CsTlCd2
1.0
-1.8430 -2.9367 4.7547
0.6475 2.3614 5.3510
-4.7151 1.8815 2.9759
Cs Tl Cd
1 1 2
Cartesian
0.0000 0.0000 0.0000
-2.9553 0.6531 6.5408
-1.4777 0.3265 3.2704
-4.4330 0.9796 9.8112
```

## Properties
DOS(E_F) (states/eV/cell): 2.4
Total magnetization (μB/f.u.): 0.00
Energy relative to the lowest polymorph listed for this composition (eV/f.u.): 0.66
Total DFT energy (no corrections) (eV per atom): -1.172